(1)
PBE PtAu2Se, optimized geometry; theoretical density = 13.03 Mg/m³
1.0
-4.646 -0.704 0.715
-2.993 -0.755 3.615
-1.894 5.437 1.176
Au Pt Se
2 1 1
direct
0.024 0.024 0.952 Au
0.786 0.786 0.731 Au
0.525 0.525 0.538 Pt
0.165 0.165 0.278 Se

---

(2)
PBE Ac2YTmS6, optimized geometry; theoretical density = 5.71 Mg/m³
1.0
-6.146 0.516 3.153
-2.056 -6.614 -2.925
3.772 -4.747 8.081
Y S Ac Tm
2 12 4 2
direct
0.000 0.500 0.500 Y
0.500 0.000 0.000 Y
0.186 0.189 0.437 S
0.683 0.307 0.563 S
0.817 0.807 0.937 S
0.183 0.193 0.063 S
0.375 0.958 0.748 S
0.317 0.693 0.437 S
0.875 0.542 0.248 S
0.125 0.458 0.752 S
0.686 0.311 0.937 S
0.625 0.042 0.252 S
0.314 0.689 0.063 S
0.814 0.811 0.563 S
0.970 0.087 0.750 Ac
0.030 0.913 0.250 Ac
0.470 0.413 0.250 Ac
0.530 0.587 0.750 Ac
0.000 0.500 0.000 Tm
0.500 0.000 0.500 Tm

---

(3)
PBE TaPt2Se, optimized geometry; theoretical density = 14.02 Mg/m³
1.0
-3.713 -5.241 2.007
-0.800 -6.316 -2.182
3.438 5.283 2.358
Se Ta Pt
1 1 2
direct
0.452 0.452 0.000 Se
0.269 0.769 0.500 Ta
0.706 0.206 0.500 Pt
0.073 0.073 0.000 Pt

---

(4)
PBE NaY2C, optimized geometry; DFT formation energy = -0.117 eV/atom; theoretical density = 3.22 Mg/m³
1.0
3.576 0.000 0.000
1.788 3.097 0.000
1.788 1.032 9.910
Na Y C
1 2 1
direct
0.000 0.000 0.000 Na
0.122 0.122 0.635 Y
0.878 0.878 0.365 Y
0.500 0.500 0.500 C

---

(5)
PBE NaPt2Br, optimized geometry; theoretical density = 11.20 Mg/m³
1.0
-2.699 -0.332 3.825
-4.580 0.986 -0.267
-3.166 -3.447 0.346
Pt Na Br
2 1 1
direct
0.250 0.250 0.250 Pt
0.750 0.750 0.750 Pt
0.000 0.000 0.000 Na
0.500 0.500 0.500 Br

---

(6)
PBE MgTc, optimized geometry; DFT formation energy = 0.468 eV/atom; theoretical density = 6.34 Mg/m³
1.0
-2.266 0.798 2.505
-2.594 -0.140 -2.302
-0.328 -2.586 0.527
Mg Tc
1 1
direct
0.000 0.000 0.500 Mg
0.500 0.500 0.000 Tc

---

(7)
PBE CsTlS3, optimized geometry; theoretical density = 4.68 Mg/m³
1.0
-4.186 -0.002 3.343
0.737 -5.226 0.919
3.261 1.178 4.084
S Cs Tl
3 1 1
direct
0.500 0.000 0.000 S
0.000 0.000 0.500 S
0.000 0.500 0.000 S
0.500 0.500 0.500 Cs
0.000 0.000 0.000 Tl

---

(8)
PBE BaTl3In2, optimized geometry; DFT formation energy = -0.208 eV/atom; theoretical density = 8.29 Mg/m³
1.0
-0.554 -1.702 4.865
-6.539 -5.176 -5.318
8.480 -2.924 -0.057
Tl Ba In
6 2 4
direct
0.003 0.006 0.336 Tl
0.997 0.994 0.664 Tl
0.327 0.655 0.119 Tl
0.674 0.349 0.461 Tl
0.326 0.651 0.539 Tl
0.673 0.345 0.881 Tl
0.141 0.282 0.138 Ba
0.859 0.718 0.862 Ba
0.181 0.363 0.680 In
0.500 0.000 0.837 In
0.819 0.637 0.320 In
0.500 0.000 0.163 In

---

no.,spin magnetization (μB per atom),total energy (eV per atom)
1,0.000,-4.00
2,0.000,-6.55
3,0.000,-7.05
4,0.000,-5.98
5,0.000,-3.21
6,0.000,-5.51
7,0.419,-3.10
8,0.000,-2.62